Tc2IrOs3 | GGA-PBE | relaxed

Computed properties:
* symmetry: P-1, No. 2
* magnetic moment: 0.0 μB per formula unit
* crystal system: triclinic
* electronic total energy: -10.595 eV/atom
* formation enthalpy at 0 K: -0.048 eV per atom
* DOS at the Fermi energy: 7.84 states/eV per cell

Cell lengths 2.748, 10.316, 9.561 Å; angles 120.29, 64.44, 131.73 degrees
Sites, in units of the cell vectors:
Tc 0.371 0.622 0.623
Tc 0.121 0.875 0.877
Tc 0.629 0.378 0.377
Tc 0.879 0.125 0.123
Os 0.486 0.735 0.402
Os 0.005 0.761 0.098
Os 0.256 0.512 0.849
Os 0.995 0.239 0.902
Os 0.744 0.488 0.151
Os 0.514 0.265 0.598
Ir 0.239 0.987 0.653
Ir 0.761 0.013 0.347

***

Tc2Ir2Os | GGA-PBE | relaxed

Computed properties:
* symmetry: C2/m, No. 12
* magnetic moment: 0.0 μB per formula unit
* crystal system: monoclinic
* electronic total energy: -10.025 eV/atom
* formation enthalpy at 0 K: -0.088 eV per atom
* DOS at the Fermi energy: 7.61 states/eV per cell
* offset from the most stable computed form: 0 meV per atom

Cell lengths 3.881, 4.735, 9.833 Å; angles 61.29, 78.59, 65.81 degrees
Sites, in units of the cell vectors:
Tc 0.652 0.244 0.952
Tc 0.348 0.756 0.048
Tc 0.848 0.256 0.548
Tc 0.152 0.744 0.452
Os 0.250 0.250 0.750
Os 0.750 0.750 0.250
Ir 0.553 0.744 0.651
Ir 0.053 0.244 0.151
Ir 0.447 0.256 0.349
Ir 0.947 0.756 0.849

***

Tc2Ir2Os5 | GGA-PBE | relaxed

Computed properties:
* symmetry: C2/m, No. 12
* magnetic moment: 0.0 μB per formula unit
* crystal system: monoclinic
* electronic total energy: -10.474 eV/atom
* formation enthalpy at 0 K: 0.038 eV per atom
* DOS at the Fermi energy: 7.00 states/eV per cell

Cell lengths 3.870, 4.729, 8.180 Å; angles 73.37, 76.32, 65.85 degrees
Sites, in units of the cell vectors:
Os 0.001 0.665 0.333
Os 0.335 0.104 0.226
Os 0.665 0.896 0.774
Os 0.000 0.000 0.000
Os 0.999 0.335 0.667
Ir 0.334 0.445 0.888
Ir 0.666 0.555 0.112
Tc 0.333 0.781 0.554
Tc 0.667 0.219 0.446